1.
# Pm4HgC, relaxed, DFT PBE
data_Pm4HgC
_cell_length_a 5.217
_cell_length_b 18.252
_cell_length_c 6.994
_cell_angle_alpha 90.00
_cell_angle_beta 90.00
_cell_angle_gamma 90.00
_symmetry_space_group_name_H-M 'C m c 21'
_symmetry_Int_Tables_number 36
_symmetry_space_group_name_Hall 'C 2c -2'
loop_
_atom_site_label
_atom_site_type_symbol
_atom_site_fract_x
_atom_site_fract_y
_atom_site_fract_z
Pm1 Pm 0.000 0.028 0.000
Pm2 Pm 0.000 0.172 0.390
Pm3 Pm 0.000 0.198 0.885
Pm4 Pm 0.000 0.412 0.154
Hg1 Hg 0.000 0.377 0.646
C1 C 0.000 0.092 0.668
# - Energy: -4.91 eV per atom
# - Total magnetization: 0.000 μB/atom
# - Fermi-level density of states: 24.37 states/eV/cell

***

2.
# KAlPdF6, relaxed, DFT PBE
data_KAlPdF6
_cell_length_a 5.4670
_cell_length_b 5.4670
_cell_length_c 5.5800
_cell_angle_alpha 90.00
_cell_angle_beta 90.00
_cell_angle_gamma 120.00
_symmetry_space_group_name_H-M 'P 3 1 2'
_symmetry_Int_Tables_number 149
_symmetry_space_group_name_Hall 'P 3 2'
loop_
_atom_site_label
_atom_site_type_symbol
_atom_site_fract_x
_atom_site_fract_y
_atom_site_fract_z
K1 K 0.0000 0.0000 0.0000
Al1 Al 0.6667 0.3333 0.5000
Pd1 Pd 0.3333 0.6667 0.5000
F1 F 0.3966 0.0505 0.6881
# - Energy: -4.97 eV per atom
# - Total magnetization: 0.221 μB/atom

***

3.
# CaCeIn, relaxed, DFT PBE
data_CaCeIn
_cell_length_a 3.782
_cell_length_b 3.959
_cell_length_c 12.069
_cell_angle_alpha 90.00
_cell_angle_beta 92.46
_cell_angle_gamma 90.00
_symmetry_space_group_name_H-M 'P 1 21/m 1'
_symmetry_Int_Tables_number 11
_symmetry_space_group_name_Hall '-P 2yb'
loop_
_atom_site_label
_atom_site_type_symbol
_atom_site_fract_x
_atom_site_fract_y
_atom_site_fract_z
Ca1 Ca 0.236 0.250 0.379
Ce1 Ce 0.172 0.250 0.059
In1 In 0.296 0.250 0.780
# - Energy: -3.85 eV per atom
# - Total magnetization: 0.009 μB/atom
# - Fermi-level density of states: 9.80 states/eV/cell

***

4.
# NaZnGa, relaxed, DFT PBE
data_NaZnGa
_cell_length_a 5.519
_cell_length_b 5.560
_cell_length_c 7.697
_cell_angle_alpha 90.00
_cell_angle_beta 90.00
_cell_angle_gamma 90.00
_symmetry_space_group_name_H-M 'I m m a'
_symmetry_Int_Tables_number 74
_symmetry_space_group_name_Hall '-I 2b 2'
loop_
_atom_site_label
_atom_site_type_symbol
_atom_site_fract_x
_atom_site_fract_y
_atom_site_fract_z
Na1 Na 0.000 0.250 0.126
Zn1 Zn 0.250 0.250 0.750
Ga1 Ga 0.000 0.000 0.500
# - Energy: -1.95 eV per atom
# - Total magnetization: 0.000 μB/atom
# - Fermi-level density of states: 3.28 states/eV/cell

***

5.
# DyUSeO2, relaxed, DFT PBE
data_DyUSeO2
_cell_length_a 3.822
_cell_length_b 3.822
_cell_length_c 12.170
_cell_angle_alpha 90.00
_cell_angle_beta 90.00
_cell_angle_gamma 90.00
_symmetry_space_group_name_H-M 'I 4 m m'
_symmetry_Int_Tables_number 107
_symmetry_space_group_name_Hall 'I 4 -2'
loop_
_atom_site_label
_atom_site_type_symbol
_atom_site_fract_x
_atom_site_fract_y
_atom_site_fract_z
Dy1 Dy 0.000 0.000 0.000
U1 U 0.000 0.000 0.296
Se1 Se 0.000 0.000 0.651
O1 O 0.000 0.500 0.403
# - Energy: -8.52 eV per atom
# - Total magnetization: 0.600 μB/atom
# - Fermi-level density of states: 15.43 states/eV/cell

***

6.
# ScCrNi6, relaxed, DFT PBE
data_ScCrNi6
_cell_length_a 7.231
_cell_length_b 10.260
_cell_length_c 10.278
_cell_angle_alpha 90.00
_cell_angle_beta 90.00
_cell_angle_gamma 90.00
_symmetry_space_group_name_H-M 'C m m m'
_symmetry_Int_Tables_number 65
_symmetry_space_group_name_Hall '-C 2 2'
loop_
_atom_site_label
_atom_site_type_symbol
_atom_site_fract_x
_atom_site_fract_y
_atom_site_fract_z
Sc1 Sc 0.000 0.000 0.249
Sc2 Sc 0.000 0.246 0.500
Cr1 Cr 0.000 0.243 0.000
Cr2 Cr 0.000 0.500 0.248
Ni1 Ni 0.000 0.000 0.000
Ni2 Ni 0.000 0.000 0.500
Ni3 Ni 0.000 0.255 0.239
Ni4 Ni 0.000 0.500 0.000
Ni5 Ni 0.000 0.500 0.500
Ni6 Ni 0.240 0.377 0.369
Ni7 Ni 0.243 0.373 0.120
# - Energy: -6.53 eV per atom
# - Total magnetization: 0.176 μB/atom
# - Fermi-level density of states: 73.62 states/eV/cell

***

7.
# Tl12SnHg7, relaxed, DFT PBE
data_Tl12SnHg7
_cell_length_a 13.7683
_cell_length_b 13.7683
_cell_length_c 10.7706
_cell_angle_alpha 90.00
_cell_angle_beta 90.00
_cell_angle_gamma 120.00
_symmetry_space_group_name_H-M 'R -3'
_symmetry_Int_Tables_number 148
_symmetry_space_group_name_Hall '-R 3'
loop_
_atom_site_label
_atom_site_type_symbol
_atom_site_fract_x
_atom_site_fract_y
_atom_site_fract_z
Tl1 Tl 0.0141 0.2632 0.0211
Tl2 Tl 0.0625 0.1692 0.7478
Sn1 Sn 0.0000 0.0000 0.5000
Hg1 Hg 0.0000 0.0000 0.0000
Hg2 Hg 0.0593 0.5042 0.1192
# - Energy: -1.71 eV per atom
# - Total magnetization: 0.000 μB/atom
# - Fermi-level density of states: 27.01 states/eV/cell

***

8.
# U3P2C, relaxed, DFT PBE
data_U3P2C
_cell_length_a 6.567
_cell_length_b 11.433
_cell_length_c 6.521
_cell_angle_alpha 90.00
_cell_angle_beta 109.46
_cell_angle_gamma 90.00
_symmetry_space_group_name_H-M 'C 1 2/c 1'
_symmetry_Int_Tables_number 15
_symmetry_space_group_name_Hall '-C 2yc'
loop_
_atom_site_label
_atom_site_type_symbol
_atom_site_fract_x
_atom_site_fract_y
_atom_site_fract_z
U1 U 0.213 0.074 0.496
U2 U 0.250 0.250 0.000
P1 P 0.000 0.262 0.250
P2 P 0.000 0.418 0.750
C1 C 0.000 0.091 0.750
# - Energy: -9.57 eV per atom
# - Total magnetization: 0.798 μB/atom
# - Fermi-level density of states: 61.87 states/eV/cell

***

9.
# Sm3AlFeS7, relaxed, DFT PBE
data_Sm3AlFeS7
_cell_length_a 9.8151
_cell_length_b 9.8151
_cell_length_c 6.1870
_cell_angle_alpha 90.00
_cell_angle_beta 90.00
_cell_angle_gamma 120.00
_symmetry_space_group_name_H-M 'P 63'
_symmetry_Int_Tables_number 173
_symmetry_space_group_name_Hall 'P 6c'
loop_
_atom_site_label
_atom_site_type_symbol
_atom_site_fract_x
_atom_site_fract_y
_atom_site_fract_z
Sm1 Sm 0.1524 0.3769 0.0000
Al1 Al 0.3333 0.6667 0.4234
Fe1 Fe 0.0000 0.0000 0.3214
S1 S 0.0931 0.5723 0.2734
S2 S 0.0981 0.2335 0.5850
S3 S 0.3333 0.6667 0.7854
# - Energy: -6.17 eV per atom
# - Total magnetization: 0.335 μB/atom
# - Fermi-level density of states: 10.17 states/eV/cell

***

10.
# Ca2La2Os, relaxed, DFT PBE
data_Ca2La2Os
_cell_length_a 4.018
_cell_length_b 4.018
_cell_length_c 20.060
_cell_angle_alpha 90.00
_cell_angle_beta 90.00
_cell_angle_gamma 90.00
_symmetry_space_group_name_H-M 'I 4/m m m'
_symmetry_Int_Tables_number 139
_symmetry_space_group_name_Hall '-I 4 2'
loop_
_atom_site_label
_atom_site_type_symbol
_atom_site_fract_x
_atom_site_fract_y
_atom_site_fract_z
Ca1 Ca 0.000 0.500 0.250
La1 La 0.000 0.000 0.077
Os1 Os 0.000 0.000 0.500
# - Energy: -4.38 eV per atom
# - Total magnetization: 0.000 μB/atom
# - Fermi-level density of states: 10.42 states/eV/cell

***

11.
# Pm2Si3Ni12Pd, relaxed, DFT PBE
data_Pm2Si3Ni12Pd
_cell_length_a 8.5796
_cell_length_b 8.5796
_cell_length_c 11.7860
_cell_angle_alpha 90.00
_cell_angle_beta 90.00
_cell_angle_gamma 120.00
_symmetry_space_group_name_H-M 'R -3 m'
_symmetry_Int_Tables_number 166
_symmetry_space_group_name_Hall '-R 3 2"'
loop_
_atom_site_label
_atom_site_type_symbol
_atom_site_fract_x
_atom_site_fract_y
_atom_site_fract_z
Pm1 Pm 0.0000 0.0000 0.1594
Si1 Si 0.0000 0.5000 0.0000
Ni1 Ni 0.0042 0.5021 0.1913
Ni2 Ni 0.0103 0.5052 0.3900
Pd1 Pd 0.0000 0.0000 0.5000
# - Energy: -5.63 eV per atom
# - Total magnetization: 0.000 μB/atom
# - Fermi-level density of states: 39.21 states/eV/cell

***

12.
# TlGePd2, relaxed, DFT PBE
data_TlGePd2
_cell_length_a 3.196
_cell_length_b 3.196
_cell_length_c 6.981
_cell_angle_alpha 90.00
_cell_angle_beta 90.00
_cell_angle_gamma 90.00
_symmetry_space_group_name_H-M 'P 4/m m m'
_symmetry_Int_Tables_number 123
_symmetry_space_group_name_Hall '-P 4 2'
loop_
_atom_site_label
_atom_site_type_symbol
_atom_site_fract_x
_atom_site_fract_y
_atom_site_fract_z
Tl1 Tl 0.000 0.000 0.000
Ge1 Ge 0.000 0.000 0.500
Pd1 Pd 0.500 0.500 0.293
# - Energy: -4.55 eV per atom
# - Total magnetization: 0.000 μB/atom
# - Fermi-level density of states: 1.22 states/eV/cell